# NaCa2MgNi

A geometry-optimized NaCa2MgNi structure (PBE, Alexandria).

Calculated values
**Crystal system**: tetragonal
**Total energy**: -12.8 eV/f.u.
**ΔH_f (0 K)**: -30 meV/atom
**Mass density**: 2.0 g cm⁻³

a b c (Å): 5.455 5.455 5.086
angles (deg): 90.00 90.00 90.00
Positions (direct):
Na1 0.000 0.000 0.000
Ca1 0.000 0.500 0.500
Ca2 0.500 0.000 0.500
Mg1 0.500 0.500 0.000
Ni1 0.500 0.500 0.500